Record 1
Sr2DyCu2O6, optimized geometry, DFT PBE-GGA; total moment = 3.083 μB per formula unit; uncorrected formation energy = -20.7 eV per formula unit
1.0
2.9669 1.7129 5.8010
-2.9669 1.7129 5.8010
0.0000 -3.4258 5.8010
Sr Dy Cu O
2 1 2 6
direct
0.2042 0.2042 0.2042
0.7958 0.7958 0.7958
0.0000 0.0000 0.0000
0.4219 0.4219 0.4219
0.5781 0.5781 0.5781
0.2229 0.7531 0.7531
0.2469 0.2469 0.7771
0.2469 0.7771 0.2469
0.7531 0.2229 0.7531
0.7531 0.7531 0.2229
0.7771 0.2469 0.2469

Record 2
PtPbAu2, optimized geometry, DFT PBE-GGA; total moment = 0.000 μB per formula unit; formation energy = 0.073 eV per atom
1.0
3.7165 0.0000 0.0000
0.0000 3.7165 0.0000
0.0000 0.0000 5.7922
Pt Pb Au
1 1 2
direct
0.0000 0.0000 0.0000
0.0000 0.0000 0.5000
0.5000 0.5000 0.2353
0.5000 0.5000 0.7647

Record 3
SmEr8Cd2, optimized geometry, DFT PBE-GGA; total moment = 0.000 μB per formula unit; formation energy = 0.042 eV per atom
1.0
4.3630 -7.4702 0.0000
4.3630 7.4702 0.0000
-2.0741 0.0000 5.1208
Sm Er Cd
1 8 2
direct
0.0000 0.0000 0.0000
0.0941 0.3207 0.6155
0.2214 0.7786 0.0000
0.3207 0.0941 0.6155
0.4015 0.4015 0.2024
0.5985 0.5985 0.7976
0.6793 0.9059 0.3845
0.7786 0.2214 0.0000
0.9059 0.6793 0.3845
0.3065 0.6935 0.5000
0.6935 0.3065 0.5000

Record 4
AsIrAu2, optimized geometry, DFT PBE-GGA; total moment = 0.000 μB per formula unit; formation energy = 0.092 eV per atom
1.0
2.9774 0.0000 0.0000
0.0000 2.9774 0.0000
0.0000 0.0000 8.0522
As Ir Au
1 1 2
direct
0.0000 0.0000 0.0000
0.5000 0.5000 0.8227
0.0000 0.0000 0.5685
0.5000 0.5000 0.3176